# NiAg2Ru | the Alexandria database | PBE-GGA | relaxed
# Energy relative to the elements (eV per atom): 0.45
# Calculated total energy (eV per atom): -4.74
# Crystal system: monoclinic
# Density of states at the Fermi level (states/eV/cell): 8.299
# Polymorph energy (0 for the lowest one) (meV per atom): 187
data_NiAg2Ru
_chemical_formula_sum 'Ni2 Ag4 Ru2'
_cell_length_a 9.507
_cell_length_b 2.690
_cell_length_c 4.805
_cell_angle_alpha 90.00
_cell_angle_beta 99.73
_cell_angle_gamma 90.00
_space_group_name_H-M_alt 'C 1 2/m 1'
_space_group_IT_number 12
loop_
_space_group_symop_operation_xyz
'x,y,z'
'-x,-y,-z'
'-x,y,-z'
'x,-y,z'
'x+1/2,y+1/2,z'
'-x+1/2,-y+1/2,-z'
'-x+1/2,y+1/2,-z'
'x+1/2,-y+1/2,z'
loop_
_atom_site_label
_atom_site_fract_x
_atom_site_fract_y
_atom_site_fract_z
Ni1 0.000 0.000 0.000
Ag1 0.246 0.500 0.246
Ru1 0.000 0.500 0.500


# BaTcS2 | the Alexandria database | PBE-GGA | relaxed
# Calculated total energy (eV per atom): -5.93
# Crystal system: tetragonal
# Density of states at the Fermi level (states/eV/cell): 9.412
# Polymorph energy (0 for the lowest one) (meV per atom): 325
# Formation energy from raw total energies (eV/atom): -0.792
data_BaTcS2
_chemical_formula_sum 'Ba4 Tc4 S8'
_cell_length_a 5.968
_cell_length_b 5.968
_cell_length_c 12.255
_cell_angle_alpha 90.00
_cell_angle_beta 90.00
_cell_angle_gamma 90.00
_space_group_name_H-M_alt 'I -4 2 d'
_space_group_IT_number 122
_space_group_name_Hall 'I -4 2bw'
loop_
_atom_site_label
_atom_site_fract_x
_atom_site_fract_y
_atom_site_fract_z
Ba1 0.000 0.000 0.000
Tc1 0.000 0.000 0.500
S1 0.134 0.250 0.625


# UTlP | the Alexandria database | PBE-GGA | relaxed
# Energy relative to the elements (eV per atom): -0.37
# Calculated total energy (eV per atom): -6.72
# Crystal system: monoclinic
# Density of states at the Fermi level (states/eV/cell): 22.214
data_UTlP
_chemical_formula_sum 'U4 Tl4 P4'
_cell_length_a 5.517
_cell_length_b 5.516
_cell_length_c 10.563
_cell_angle_alpha 90.00
_cell_angle_beta 102.36
_cell_angle_gamma 90.00
_space_group_name_H-M_alt 'C 1 2/m 1'
_space_group_IT_number 12
loop_
_space_group_symop_operation_xyz
'x,y,z'
'-x,-y,-z'
'-x,y,-z'
'x,-y,z'
'x+1/2,y+1/2,z'
'-x+1/2,-y+1/2,-z'
'-x+1/2,y+1/2,-z'
'x+1/2,-y+1/2,z'
loop_
_atom_site_label
_atom_site_fract_x
_atom_site_fract_y
_atom_site_fract_z
U1 0.193 0.000 0.374
Tl1 0.223 0.000 0.908
P1 0.183 0.500 0.358


# Mg5Cd12Sn2 | the Alexandria database | PBE-GGA | relaxed
# Energy relative to the elements (eV per atom): -0.03
# Calculated total energy (eV per atom): -1.44
# Crystal system: monoclinic
# Density of states at the Fermi level (states/eV/cell): 10.661
data_Mg5Cd12Sn2
_chemical_formula_sum 'Mg10 Cd24 Sn4'
_cell_length_a 15.065
_cell_length_b 6.374
_cell_length_c 10.242
_cell_angle_alpha 90.00
_cell_angle_beta 116.17
_cell_angle_gamma 90.00
_space_group_name_H-M_alt 'C 1 2/m 1'
_space_group_IT_number 12
loop_
_space_group_symop_operation_xyz
'x,y,z'
'-x,-y,-z'
'-x,y,-z'
'x,-y,z'
'x+1/2,y+1/2,z'
'-x+1/2,-y+1/2,-z'
'-x+1/2,y+1/2,-z'
'x+1/2,-y+1/2,z'
loop_
_atom_site_label
_atom_site_fract_x
_atom_site_fract_y
_atom_site_fract_z
Mg1 0.000 0.000 0.000
Mg2 0.148 0.500 0.421
Mg3 0.239 0.000 0.007
Cd1 0.061 0.259 0.822
Cd2 0.101 0.500 0.108
Cd3 0.132 0.000 0.364
Cd4 0.223 0.253 0.713
Sn1 0.000 0.245 0.500


# IrOsPt | the Alexandria database | PBE-GGA | relaxed
# Energy relative to the elements (eV per atom): 0.03
# Calculated total energy (eV per atom): -8.68
# Crystal system: tetragonal
# Density of states at the Fermi level (states/eV/cell): 4.522
# Polymorph energy (0 for the lowest one) (meV per atom): 0
data_IrOsPt
_chemical_formula_sum 'Ir2 Os2 Pt2'
_cell_length_a 2.745
_cell_length_b 2.745
_cell_length_c 11.822
_cell_angle_alpha 90.00
_cell_angle_beta 90.00
_cell_angle_gamma 90.00
_space_group_name_H-M_alt 'I 4 m m'
_space_group_IT_number 107
_space_group_name_Hall 'I 4 -2'
loop_
_atom_site_label
_atom_site_fract_x
_atom_site_fract_y
_atom_site_fract_z
Ir1 0.000 0.000 0.000
Os1 0.000 0.000 0.348
Pt1 0.000 0.000 0.679


# HgPS2F | the Alexandria database | PBE-GGA | relaxed
# Calculated total energy (eV per atom): -2.51
# Crystal system: tetragonal
# Density of states at the Fermi level (states/eV/cell): 2.635
# Polymorph energy (0 for the lowest one) (meV per atom): 0
# Formation energy from raw total energies (eV/atom): 0.661
data_HgPS2F
_chemical_formula_sum 'Hg1 P1 S2 F1'
_cell_length_a 5.124
_cell_length_b 5.124
_cell_length_c 3.684
_cell_angle_alpha 90.00
_cell_angle_beta 90.00
_cell_angle_gamma 90.00
_space_group_name_H-M_alt 'P 4/m m m'
_space_group_IT_number 123
_space_group_name_Hall '-P 4 2'
loop_
_atom_site_label
_atom_site_fract_x
_atom_site_fract_y
_atom_site_fract_z
Hg1 0.000 0.000 0.000
P1 0.500 0.500 0.000
S1 0.000 0.500 0.500
F1 0.500 0.500 0.500